Compound: SrCo2As2O8
Source: Alexandria
Functional: PBE with a Hubbard U
Structure: optimized geometry

Properties
Relative energy among the computed polymorphs = 214 meV/atom
Theoretical density = 3.7 Mg/m³
DOS at the Fermi energy = 4.49 states/eV/cell
Total energy = -6.03 eV/atom

CIF file:
```
data_SrCo2As2O8
_chemical_formula_sum 'Sr2 Co4 As4 O16'
_space_group_name_H-M_alt 'P -1'
_space_group_IT_number 2
_cell_length_a 5.823
_cell_length_b 7.739
_cell_length_c 10.548
_cell_angle_alpha 102.20
_cell_angle_beta 99.86
_cell_angle_gamma 105.85
loop_
_space_group_symop_operation_xyz
'x,y,z'
'-x,-y,-z'
loop_
_atom_site_label
_atom_site_type_symbol
_atom_site_fract_x
_atom_site_fract_y
_atom_site_fract_z
Sr1 Sr 0.249 0.307 0.032
Co1 Co 0.073 0.910 0.760
Co2 Co 0.242 0.003 0.502
As1 As 0.068 0.462 0.742
As2 As 0.350 0.893 0.200
O1 O 0.007 0.330 0.206
O2 O 0.039 0.022 0.620
O3 O 0.163 0.659 0.153
O4 O 0.165 0.008 0.135
O5 O 0.328 0.497 0.865
O6 O 0.404 0.086 0.870
O7 O 0.454 0.978 0.374
O8 O 0.473 0.570 0.525
```